(1)
This record from Alexandria describes an optimized crystal structure of Si2PPt. The functional is PBE.

The value obtained for the final energy is -5.275 eV/atom. Its magnetization is 0.0 μB per formula unit. Its formation energy (no corrections) is 28.9 kJ per mole of atoms.

Cell lengths 6.2182, 6.2182, 6.2182 Å; angles 90.00, 90.00, 90.00 degrees
Last column: nearest neighbours and their distance in Å.
Sites, in units of the cell vectors:
Si 0.0000 0.0000 0.0000  4 Si 2.69, 4 P 2.69
Si 0.0000 0.5000 0.5000  4 Si 2.69, 4 P 2.69
Si 0.2500 0.2500 0.2500  4 Pt 2.69, 4 Si 2.69
Si 0.2500 0.7500 0.7500  4 Pt 2.69, 4 Si 2.69
Si 0.5000 0.0000 0.5000  4 Si 2.69, 4 P 2.69
Si 0.5000 0.5000 0.0000  4 Si 2.69, 4 P 2.69
Si 0.7500 0.2500 0.7500  4 Pt 2.69, 4 Si 2.69
Si 0.7500 0.7500 0.2500  4 Pt 2.69, 4 Si 2.69
P 0.2500 0.2500 0.7500  4 Pt 2.69, 4 Si 2.69
P 0.2500 0.7500 0.2500  4 Pt 2.69, 4 Si 2.69
P 0.7500 0.2500 0.2500  4 Pt 2.69, 4 Si 2.69
P 0.7500 0.7500 0.7500  4 Si 2.69, 4 Pt 2.69
Pt 0.0000 0.0000 0.5000  4 Si 2.69, 4 P 2.69
Pt 0.0000 0.5000 0.0000  4 Si 2.69, 4 P 2.69
Pt 0.5000 0.0000 0.0000  4 Si 2.69, 4 P 2.69
Pt 0.5000 0.5000 0.5000  4 Si 2.69, 4 P 2.69

***

(2)
This record from Alexandria describes an optimized crystal structure of Si2PPt. The functional is PBE.

The value obtained for the final energy is -5.384 eV/atom. Its magnetization is 0.0 μB per formula unit. Its formation energy (no corrections) is 18.3 kJ per mole of atoms.

Cell lengths 2.7068, 3.2488, 6.7765 Å; angles 90.00, 90.00, 90.00 degrees
Last column: nearest neighbours and their distance in Å.
Sites, in units of the cell vectors:
Si 0.0000 0.0000 0.0000  4 Pt 2.59, 6 Si 2.71-2.83
Si 0.5000 0.5000 0.2772  4 P 2.64, 6 Si 2.71-2.83
P 0.0000 0.0000 0.5099  4 Si 2.64, 2 P 2.71, 4 Pt 2.79
Pt 0.5000 0.5000 0.7786  4 Si 2.59, 2 Pt 2.71, 4 P 2.79

***

(3)
This record from Alexandria describes an optimized crystal structure of SiP2Pt. The functional is PBE.

The polymorph energy (0 for the lowest one) comes out at 0.636 eV per atom. The value obtained for the final energy is -5.218 eV/atom. Its magnetization is 0.0 μB per formula unit. Its formation energy (no corrections) is 34.0 kJ per mole of atoms.

Cell lengths 2.9948, 2.9948, 6.5958 Å; angles 90.00, 90.00, 90.00 degrees
Last column: nearest neighbours and their distance in Å.
Sites, in units of the cell vectors:
Si 0.0000 0.0000 0.0000  8 P 2.70, 4 Si 2.99
P 0.5000 0.5000 0.2537  4 Pt 2.67, 4 Si 2.70
P 0.5000 0.5000 0.7463  4 Pt 2.67, 4 Si 2.70
Pt 0.0000 0.0000 0.5000  8 P 2.67

***

(4)
This record from Alexandria describes an optimized crystal structure of SiP2Pt. The functional is PBE.

The polymorph energy (0 for the lowest one) comes out at 0.045 eV per atom. The value obtained for the final energy is -5.809 eV/atom. Its magnetization is 0.0 μB per formula unit. Its formation energy (no corrections) is -23.0 kJ per mole of atoms.

Cell lengths 7.5356, 6.9447, 5.1074 Å; angles 90.00, 90.00, 90.00 degrees
Last column: nearest neighbours and their distance in Å.
Sites, in units of the cell vectors:
Si 0.1754 0.2500 0.2336  2 P 2.33, 1 Pt 2.46
Si 0.3246 0.7500 0.7336  2 P 2.33, 1 Pt 2.46
Si 0.6754 0.2500 0.2664  2 P 2.33, 1 Pt 2.46
Si 0.8246 0.7500 0.7664  2 P 2.33, 1 Pt 2.46
P 0.0148 0.5328 0.2919  1 P 2.19, 1 Si 2.33, 1 Pt 2.40
P 0.0148 0.9672 0.2919  1 P 2.19, 1 Si 2.33, 1 Pt 2.40
P 0.4852 0.0328 0.7919  1 P 2.19, 1 Si 2.33, 1 Pt 2.40
P 0.4852 0.4672 0.7919  1 P 2.19, 1 Si 2.33, 1 Pt 2.40
P 0.5148 0.5328 0.2081  1 P 2.19, 1 Si 2.33, 1 Pt 2.40
P 0.5148 0.9672 0.2081  1 P 2.19, 1 Si 2.33, 1 Pt 2.40
P 0.9852 0.0328 0.7081  1 P 2.19, 1 Si 2.33, 1 Pt 2.40
P 0.9852 0.4672 0.7081  1 P 2.19, 1 Si 2.33, 1 Pt 2.40
Pt 0.2385 0.2500 0.7620  4 P 2.40-2.45, 1 Si 2.46
Pt 0.2615 0.7500 0.2620  4 P 2.40-2.45, 1 Si 2.46
Pt 0.7385 0.2500 0.7380  4 P 2.40-2.45, 1 Si 2.46
Pt 0.7615 0.7500 0.2380  4 P 2.40-2.45, 1 Si 2.46

***

(5)
This record from Alexandria describes an optimized crystal structure of SiPPt2. The functional is PBE.

The value obtained for the final energy is -5.766 eV/atom. Its magnetization is 0.0 μB per formula unit. Its formation energy (no corrections) is -3.7 kJ per mole of atoms.

Cell lengths 6.1913, 6.1913, 6.1913 Å; angles 90.00, 90.00, 90.00 degrees
Last column: nearest neighbours and their distance in Å.
Sites, in units of the cell vectors:
Si 0.0000 0.0000 0.0000  8 Pt 2.68
Si 0.0000 0.5000 0.5000  8 Pt 2.68
Si 0.5000 0.0000 0.5000  8 Pt 2.68
Si 0.5000 0.5000 0.0000  8 Pt 2.68
P 0.0000 0.0000 0.5000  8 Pt 2.68
P 0.0000 0.5000 0.0000  8 Pt 2.68
P 0.5000 0.0000 0.0000  8 Pt 2.68
P 0.5000 0.5000 0.5000  8 Pt 2.68
Pt 0.2500 0.2500 0.2500  4 Si 2.68, 4 P 2.68
Pt 0.2500 0.2500 0.7500  4 Si 2.68, 4 P 2.68
Pt 0.2500 0.7500 0.2500  4 Si 2.68, 4 P 2.68
Pt 0.2500 0.7500 0.7500  4 Si 2.68, 4 P 2.68
Pt 0.7500 0.2500 0.2500  4 Si 2.68, 4 P 2.68
Pt 0.7500 0.2500 0.7500  4 Si 2.68, 4 P 2.68
Pt 0.7500 0.7500 0.2500  4 Si 2.68, 4 P 2.68
Pt 0.7500 0.7500 0.7500  4 Si 2.68, 4 P 2.68

***

(6)
This record from Alexandria describes an optimized crystal structure of SiPPt2. The functional is PBE.

The value obtained for the final energy is -5.965 eV/atom. Its magnetization is 0.0 μB per formula unit. Its formation energy (no corrections) is -22.8 kJ per mole of atoms.

Cell lengths 7.3454, 2.8865, 5.9048 Å; angles 90.00, 102.30, 90.00 degrees
Last column: nearest neighbours and their distance in Å.
Sites, in units of the cell vectors:
Si 0.0000 0.0000 0.0000  6 Pt 2.47-2.55
Si 0.5000 0.5000 0.0000  6 Pt 2.47-2.55
P 0.0000 0.5000 0.5000  6 Pt 2.63, 2 P 2.89
P 0.5000 0.0000 0.5000  6 Pt 2.63, 2 P 2.89
Pt 0.2430 0.5000 0.2298  3 Si 2.47-2.55, 3 P 2.63
Pt 0.2570 0.0000 0.7702  3 Si 2.47-2.55, 3 P 2.63
Pt 0.7430 0.0000 0.2298  3 Si 2.47-2.55, 3 P 2.63
Pt 0.7570 0.5000 0.7702  3 Si 2.47-2.55, 3 P 2.63

***

(7)
This record from Alexandria describes an optimized crystal structure of SiPPt. The functional is PBE.

The polymorph energy (0 for the lowest one) comes out at 0.263 eV per atom. The value obtained for the final energy is -5.919 eV/atom. Its magnetization is 0.0 μB per formula unit. Its formation energy (no corrections) is -28.4 kJ per mole of atoms.

Cell lengths 5.8589, 5.5534, 7.3881 Å; angles 90.00, 122.21, 90.00 degrees
Last column: nearest neighbours and their distance in Å.
Sites, in units of the cell vectors:
Si 0.2179 0.0916 0.3599  2 P 2.31-2.36, 2 Pt 2.47-2.49
Si 0.2179 0.4084 0.8599  2 P 2.31-2.36, 2 Pt 2.47-2.49
Si 0.7821 0.5916 0.1401  2 P 2.31-2.36, 2 Pt 2.47-2.49
Si 0.7821 0.9084 0.6401  2 P 2.31-2.36, 2 Pt 2.47-2.49
P 0.2383 0.6672 0.3535  2 Si 2.31-2.36, 3 Pt 2.43-2.57
P 0.2383 0.8328 0.8535  2 Si 2.31-2.36, 3 Pt 2.43-2.57
P 0.7617 0.1672 0.1465  2 Si 2.31-2.36, 3 Pt 2.43-2.57
P 0.7617 0.3328 0.6465  2 Si 2.31-2.36, 3 Pt 2.43-2.57
Pt 0.4558 0.1278 0.7524  3 P 2.43-2.57, 2 Si 2.47-2.49
Pt 0.4558 0.3722 0.2524  3 P 2.43-2.57, 2 Si 2.47-2.49
Pt 0.5442 0.6278 0.7476  3 P 2.43-2.57, 2 Si 2.47-2.49
Pt 0.5442 0.8722 0.2476  3 P 2.43-2.57, 2 Si 2.47-2.49

***

(8)
This record from Alexandria describes an optimized crystal structure of SiP2Pt. The functional is PBE.

The polymorph energy (0 for the lowest one) comes out at 0.500 eV per atom. The value obtained for the final energy is -5.355 eV/atom. Its magnetization is 0.0 μB per formula unit. Its formation energy (no corrections) is 20.9 kJ per mole of atoms.

Cell lengths 3.0669, 3.0669, 6.6446 Å; angles 90.00, 90.00, 90.00 degrees
Last column: nearest neighbours and their distance in Å.
Sites, in units of the cell vectors:
Si 0.0000 0.0000 0.0000  4 Pt 2.54
P 0.0000 0.0000 0.5088  4 P 2.39
P 0.5000 0.5000 0.3567  4 P 2.39
Pt 0.5000 0.5000 0.8001  4 Si 2.54

***

(9)
This record from Alexandria describes an optimized crystal structure of SiPPt4. The functional is PBE.

The value obtained for the final energy is -5.397 eV/atom. Its magnetization is 0.0 μB per formula unit. Its formation energy (no corrections) is 42.0 kJ per mole of atoms.

Cell lengths 5.2676, 5.2676, 5.2676 Å; angles 60.00, 60.00, 60.00 degrees
Last column: nearest neighbours and their distance in Å.
Sites, in units of the cell vectors:
Si 0.0000 0.0000 0.0000  12 Pt 3.09, 4 P 3.23
P 0.7500 0.7500 0.7500  12 Pt 3.09, 4 Si 3.23
Pt 0.3752 0.3752 0.3752  6 Pt 2.63-2.64
Pt 0.3752 0.3752 0.8744  6 Pt 2.63-2.64
Pt 0.3752 0.8744 0.3752  6 Pt 2.63-2.64
Pt 0.8744 0.3752 0.3752  6 Pt 2.63-2.64

***

(10)
This record from Alexandria describes an optimized crystal structure of Si2PPt. The functional is PBE.

The value obtained for the final energy is -5.559 eV/atom. Its magnetization is 0.0 μB per formula unit. Its formation energy (no corrections) is 1.5 kJ per mole of atoms.

Cell lengths 3.4079, 19.1467, 4.4323 Å; angles 90.00, 90.00, 90.00 degrees
Last column: nearest neighbours and their distance in Å.
Sites, in units of the cell vectors:
Si 0.0000 0.0550 0.2500  2 P 2.38, 1 Pt 2.39
Si 0.0000 0.2281 0.7500  4 Pt 2.40-2.45
Si 0.0000 0.7719 0.2500  4 Pt 2.40-2.45
Si 0.0000 0.9450 0.7500  2 P 2.38, 1 Pt 2.39
Si 0.5000 0.2719 0.2500  4 Pt 2.40-2.45
Si 0.5000 0.4450 0.7500  2 P 2.38, 1 Pt 2.39
Si 0.5000 0.5550 0.2500  2 P 2.38, 1 Pt 2.39
Si 0.5000 0.7281 0.7500  4 Pt 2.40-2.45
P 0.0000 0.4679 0.2500  2 Si 2.38, 2 P 2.53
P 0.0000 0.5321 0.7500  2 Si 2.38, 2 P 2.53
P 0.5000 0.0321 0.7500  2 Si 2.38, 2 P 2.53
P 0.5000 0.9679 0.2500  2 Si 2.38, 2 P 2.53
Pt 0.0000 0.1801 0.2500  5 Si 2.39-2.45
Pt 0.0000 0.8199 0.7500  5 Si 2.39-2.45
Pt 0.5000 0.3199 0.7500  5 Si 2.39-2.45
Pt 0.5000 0.6801 0.2500  5 Si 2.39-2.45